VASP calculation (GGA-PBE) on NdEr4Sc5 after structural relaxation.

- E above lowest polymorph (meV/atom) = 239

Cell and atoms, written as CIF:
```
data_NdEr4Sc5
_cell_length_a 9.727
_cell_length_b 9.727
_cell_length_c 6.046
_cell_angle_alpha 90.00
_cell_angle_beta 90.00
_cell_angle_gamma 90.00
_symmetry_space_group_name_H-M 'I 4'
_symmetry_Int_Tables_number 79
loop_
_symmetry_equiv_pos_as_xyz
'x,y,z'
'-y,x,z'
'-x,-y,z'
'y,-x,z'
'x+1/2,y+1/2,z+1/2'
'-y+1/2,x+1/2,z+1/2'
'-x+1/2,-y+1/2,z+1/2'
'y+1/2,-x+1/2,z+1/2'
loop_
_atom_site_label
_atom_site_type_symbol
_atom_site_fract_x
_atom_site_fract_y
_atom_site_fract_z
_atom_site_occupancy
Nd1 Nd 0.000 0.000 0.000 1
Er1 Er 0.051 0.654 0.223 1
Sc1 Sc 0.000 0.000 0.458 1
Sc2 Sc 0.142 0.770 0.714 1
```

VASP calculation (GGA-PBE) on Nd4ErSc5 after structural relaxation.

Cell and atoms, written as CIF:
```
data_Nd4ErSc5
_cell_length_a 3.563
_cell_length_b 3.563
_cell_length_c 22.881
_cell_angle_alpha 90.00
_cell_angle_beta 90.00
_cell_angle_gamma 90.00
_symmetry_space_group_name_H-M 'P 4/m m m'
_symmetry_Int_Tables_number 123
_symmetry_space_group_name_Hall '-P 4 2'
loop_
_atom_site_label
_atom_site_type_symbol
_atom_site_fract_x
_atom_site_fract_y
_atom_site_fract_z
_atom_site_occupancy
Nd1 Nd 0.000 0.000 0.101 1
Nd2 Nd 0.000 0.000 0.302 1
Er1 Er 0.000 0.000 0.500 1
Sc1 Sc 0.500 0.500 0.000 1
Sc2 Sc 0.500 0.500 0.202 1
Sc3 Sc 0.500 0.500 0.404 1
```

no.,magnetization (μB/atom),formation enthalpy at 0 K (eV/f.u.)
1,0.00,3.0
2,0.00,0.6